## P
A plane-wave DFT calculation with PBE was carried out for a relaxed Pd4PtAu3 crystal.

Cell: 5.692 5.702 16.126 Å, 90.00 90.00 90.00°
Space group Fmmm (No. 69)
One atom of each set of equivalent atoms:
1 Pd 0.250 0.250 0.123 x16
2 Pt 0.000 0.000 0.000 x4
3 Au 0.000 0.000 0.250 x8
4 Au 0.000 0.000 0.500 x4

Output
Crystal system: orthorhombic
Calculated volume (Å³/atom): 16.36

***

## Q
A plane-wave DFT calculation with PBE was carried out for a relaxed Pd4PtAu3 crystal.

Cell: 5.509 8.575 7.468 Å, 90.00 90.00 90.00°
Space group Imm2 (No. 44)
One atom of each set of equivalent atoms:
1 Pd 0.000 0.208 0.000 x4
2 Pd 0.238 0.500 0.675 x4
3 Pt 0.000 0.500 0.982 x2
4 Au 0.000 0.000 0.480 x2
5 Au 0.243 0.500 0.300 x4

Output
Crystal system: orthorhombic
Calculated volume (Å³/atom): 22.05

***

Relative energies with respect to the most stable structure, expressed in kJ/mol of atoms: P 0.0; Q 50.7.